1:
Entry from Alexandria via LeMat-Bulk: a relaxed structure of LiSi2As2 (PBE-GGA).

Calculated values
SG	P4/mbm (127)

Cell: 7.082 7.082 3.527 Å, 90.00 90.00 90.00°
Fractional coordinates of all 10 atoms:
Si 0.632 0.868 0.500
Si 0.132 0.632 0.500
Si 0.868 0.368 0.500
Si 0.368 0.132 0.500
As 0.665 0.165 0.000
As 0.165 0.335 0.000
As 0.835 0.665 0.000
As 0.335 0.835 0.000
Li 0.500 0.500 0.000
Li 0.000 0.000 0.000

2:
Entry from Alexandria via LeMat-Bulk: a relaxed structure of LiSi2As2 (PBE-GGA).

Calculated values
SG	I4/mmm (139)

Cell: 4.461 4.461 6.557 Å, 70.11 70.11 90.00°
Fractional coordinates of all 5 atoms:
As 0.356 0.356 0.288
As 0.644 0.644 0.712
Li 0.000 0.000 0.000
Si 0.750 0.250 0.500
Si 0.250 0.750 0.500

Here is how they stack up, most stable first: 1, 2.